Compound: Mo2SeI
Source: Alexandria
Functional: GGA-PBE
Structure: optimized geometry

## Properties
Mass density   6.616 g/cm3
SG   I-42d (122)
Energy relative to the lowest polymorph listed for this composition   0.299 eV per atom
Uncorrected formation energy   0.936 eV per atom

Unit cell a=6.0772 b=6.0772 c=6.9058 alpha=63.90 beta=63.90 gamma=90.00
With the nearest neighbours (Å) after each atom.
Fractional coordinates of all 8 atoms:
Mo 0.3750 0.4029 0.7500  2 Se 2.44, 2 I 2.64
Mo 0.1529 0.6250 0.2500  2 Se 2.44, 2 I 2.64
Mo 0.5971 0.1250 0.2500  2 Se 2.44, 2 I 2.64
Mo 0.8750 0.8471 0.7500  2 Se 2.44, 2 I 2.64
I 0.0000 0.0000 0.0000  4 Mo 2.64
I 0.7500 0.2500 0.5000  4 Mo 2.64
Se 0.2500 0.7500 0.5000  4 Mo 2.44
Se 0.5000 0.5000 0.0000  4 Mo 2.44